[1]
This record from Alexandria describes a relaxed TlSnHgF6 crystal. The functional is GGA-PBE.

Cell: 6.4800 6.4800 10.1945 Å, 90.00 90.00 120.00°
Space group P-31c (No. 163)
Unique sites:
Tl 0.0000 0.0000 0.0000 [2 per cell]
Sn 0.3333 0.6667 0.2500 [2 per cell]
Hg 0.3333 0.6667 0.7500 [2 per cell]
F 0.0754 0.4101 0.1389 [12 per cell]

The uncorrected formation energy is -2.003 eV per atom. For the density of states at the Fermi level, the calculation gives 2.1 states/eV/f.u. The crystal system is trigonal. For the raw total energy, the calculation gives -71.8 eV for the cell shown. The total magnetization is 2.0 μB per cell.

***

[2]
This record from Alexandria describes a relaxed Pm4Mg5In2 crystal. The functional is GGA-PBE.

Cell: 8.1988 3.5842 10.6363 Å, 90.00 94.31 90.00°
Space group P2/m (No. 10)
Unique sites:
Pm 0.1590 0.0000 0.3845 [2 per cell]
Pm 0.2768 0.0000 0.9442 [2 per cell]
Mg 0.1987 0.5000 0.6657 [2 per cell]
Mg 0.4310 0.5000 0.2079 [2 per cell]
Mg 0.5000 0.5000 0.5000 [1 per cell]
In 0.0584 0.5000 0.1364 [2 per cell]

For the density of states at the Fermi level, the calculation gives 10.2 states/eV/f.u. The crystal system is monoclinic. For the raw total energy, the calculation gives -34.3 eV for the cell shown. The value obtained for the formation enthalpy at 0 K is -1.81 eV/f.u. The total magnetization is 0.0 μB per cell.

***

[3]
This record from Alexandria describes a relaxed CsIn6Au12 crystal. The functional is GGA-PBE.

Cell: 12.9153 12.9153 9.5272 Å, 90.00 90.00 120.00°
Space group R-3 (No. 148, hexagonal axes)
Unique sites:
Cs 0.0000 0.0000 0.0000 [3 per cell]
In 0.0143 0.6059 0.8511 [18 per cell]
Au 0.0546 0.9033 0.3736 [18 per cell]
Au 0.0566 0.5673 0.3809 [18 per cell]

For the density of states at the Fermi level, the calculation gives 5.7 states/eV/f.u. The crystal system is trigonal. For the raw total energy, the calculation gives -179.3 eV for the cell shown. The value obtained for the formation enthalpy at 0 K is -3.17 eV/f.u. The total magnetization is 0.0 μB per cell.

***

[4]
This record from Alexandria describes a relaxed Ru3Rh5 crystal. The functional is GGA-PBE.

Cell: 10.2577 9.4740 5.1458 Å, 90.00 115.73 90.00°
Space group C2/c (No. 15)
Unique sites:
Ru 0.0000 0.0440 0.2500 [4 per cell]
Ru 0.1243 0.2909 0.4945 [8 per cell]
Rh 0.0000 0.4595 0.7500 [4 per cell]
Rh 0.1243 0.2078 0.0031 [8 per cell]
Rh 0.2483 0.0416 0.7424 [8 per cell]

For the density of states at the Fermi level, the calculation gives 10.0 states/eV/f.u. The crystal system is monoclinic. For the raw total energy, the calculation gives -257.6 eV for the cell shown. The value obtained for the formation enthalpy at 0 K is 0.18 eV/f.u. The total magnetization is 0.0 μB per cell. The energy above the most stable polymorph in this dataset comes out at 8.6 meV/atom.

***

[5]
This record from Alexandria describes a relaxed Mg2MnCl crystal. The functional is GGA-PBE.

Cell: 3.2099 5.7639 9.1725 Å, 90.00 90.00 90.00°
Space group Immm (No. 71)
Unique sites:
Mg 0.0000 0.0000 0.2328 [4 per cell]
Mn 0.0000 0.5000 0.0000 [2 per cell]
Cl 0.0000 0.5000 0.5000 [2 per cell]

The uncorrected formation energy is -0.039 eV per atom. For the density of states at the Fermi level, the calculation gives 2.0 states/eV/f.u. The crystal system is orthorhombic. For the raw total energy, the calculation gives -28.7 eV for the cell shown. The total magnetization is 8.3 μB per cell. The energy above the most stable polymorph in this dataset comes out at 266.6 meV/atom.

***

[6]
This record from Alexandria describes a relaxed AlCdAs crystal. The functional is GGA-PBE.

Cell: 6.5663 6.5663 6.5663 Å, 90.00 90.00 90.00°
Space group F-43m (No. 216)
Unique sites:
Al 0.0000 0.0000 0.0000 [4 per cell]
Cd 0.2500 0.2500 0.2500 [4 per cell]
As 0.0000 0.0000 0.5000 [4 per cell]

For the density of states at the Fermi level, the calculation gives 0.1 states/eV/f.u. The crystal system is cubic. For the raw total energy, the calculation gives -34.3 eV for the cell shown. The value obtained for the formation enthalpy at 0 K is 0.74 eV/f.u. The total magnetization is 0.0 μB per cell. The energy above the most stable polymorph in this dataset comes out at 140.9 meV/atom.

***

Among the records above, which one has the highest raw total energy? Mg2MnCl

***

Which formula does entry 6 have? AlCdAs